1.
! GGA-PBE SnHgSb2C, optimized geometry; values from VASP
! DOS(E_F) (states/eV/cell): 3.66
! Formation energy without anion corrections (kJ/mol of formula units): 639
! Uncorrected energy (eV per atom): -3.030
! Volume (A^3/atom): 28.10
&SYSTEM
  ibrav = 0, nat = 5, ntyp = 4
/
ATOMIC_SPECIES
Sn 118.71 Sn.upf
Hg 200.59 Hg.upf
Sb 121.76 Sb.upf
C 12.01 C.upf
ATOMIC_POSITIONS crystal
Sn 0.0000 0.0000 0.0000
Hg 0.5000 0.5000 0.5000
Sb 0.0000 0.5000 0.0000
Sb 0.5000 0.0000 0.0000
C 0.0000 0.0000 0.5000
CELL_PARAMETERS angstrom
5.8689 0.0000 0.0000
0.0000 5.8689 0.0000
0.0000 0.0000 4.0793

---

2.
! GGA-PBE Tb4HgSbC, optimized geometry; values from VASP
! DOS(E_F) (states/eV/cell): 8.19
! Formation energy without anion corrections (kJ/mol of formula units): -398
! Uncorrected energy (eV per atom): -5.185
! Volume (A^3/atom): 26.11
&SYSTEM
  ibrav = 0, nat = 14, ntyp = 4
/
ATOMIC_SPECIES
Tb 158.93 Tb.upf
Hg 200.59 Hg.upf
Sb 121.76 Sb.upf
C 12.01 C.upf
ATOMIC_POSITIONS crystal
Tb 0.0000 0.5000 0.0000
Tb 0.0000 0.5000 0.5000
Tb 0.0839 0.9161 0.7500
Tb 0.4096 0.5904 0.7500
Tb 0.5000 0.0000 0.0000
Tb 0.5000 0.0000 0.5000
Tb 0.5904 0.4096 0.2500
Tb 0.9161 0.0839 0.2500
Hg 0.1146 0.8854 0.2500
Hg 0.8854 0.1146 0.7500
Sb 0.3890 0.6110 0.2500
Sb 0.6110 0.3890 0.7500
C 0.2501 0.7499 0.7500
C 0.7499 0.2501 0.2500
CELL_PARAMETERS angstrom
3.4312 -7.7810 0.0000
3.4312 7.7810 0.0000
0.0000 0.0000 6.8455